Compound: BaLa2
Source: Alexandria
Functional: GGA-PBE
Structure: optimized geometry

Lattice parameters (Å, degrees): 3.8424 21.7659 6.2332 90.00 90.00 90.00
Last column: nearest neighbours and their distance in Å.
Sites, in units of the cell vectors:
1 Ba 0.0000 0.2066 0.2500  6 Ba 3.84-4.12, 4 La 3.87-4.08
2 Ba 0.0000 0.7934 0.7500  6 Ba 3.84-4.12, 4 La 3.87-4.08
3 Ba 0.5000 0.2934 0.7500  6 Ba 3.84-4.12, 4 La 3.87-4.08
4 Ba 0.5000 0.7066 0.2500  6 Ba 3.84-4.12, 4 La 3.87-4.08
5 La 0.0000 0.1015 0.7500  8 La 3.66-3.89, 2 Ba 3.87
6 La 0.0000 0.4585 0.7500  10 La 3.60-3.89
7 La 0.0000 0.5415 0.2500  10 La 3.60-3.89
8 La 0.0000 0.8985 0.2500  8 La 3.66-3.89, 2 Ba 3.87
9 La 0.5000 0.0415 0.2500  10 La 3.60-3.89
10 La 0.5000 0.3985 0.2500  8 La 3.66-3.89, 2 Ba 3.87
11 La 0.5000 0.6015 0.7500  8 La 3.66-3.89, 2 Ba 3.87
12 La 0.5000 0.9585 0.7500  10 La 3.60-3.89

space-group type	Cmcm
magnetization	0.00	Bohr magnetons per cell
ΔH_f (0 K)	126	meV per atom